A plane-wave DFT calculation with PBE was carried out for a geometry-optimized Mn3Tc structure.

CIF file:
```
data_Mn3Tc
_chemical_formula_sum 'Mn3 Tc1'
_space_group_name_H-M_alt 'P 1'
_space_group_IT_number 1
_space_group_name_Hall 'P 1'
_cell_length_a 4.478
_cell_length_b 4.478
_cell_length_c 2.627
_cell_angle_alpha 90.00
_cell_angle_beta 90.00
_cell_angle_gamma 108.15
loop_
_atom_site_label
_atom_site_type_symbol
_atom_site_fract_x
_atom_site_fract_y
_atom_site_fract_z
Tc1 Tc 0.500 0.500 0.000
Mn1 Mn 0.000 0.500 0.500
Mn2 Mn 0.500 0.000 0.500
Mn3 Mn 0.000 0.000 0.000
```

Computed properties:
* M_tot: 1.2 μB per formula unit
* ΔE_f: 0.08 eV per atom
* density of states at the Fermi level: 4.90 states/eV/f.u.
* ρ: 8.72 g/cm³
* symmetry: Cmmm (65)